# NdTaOs

NdTaOs after structural relaxation (PBE, the Open Quantum Materials Database).

Output
The symmetry is No. 216. The formation energy comes out at 158 kJ per mole of atoms.

Unit cell a=4.5863 b=4.5863 c=4.5863 alpha=60.00 beta=60.00 gamma=60.00
Closest atoms and distances in Å follow each position.
Atoms (fractional coordinates):
Nd 0.0000 0.0000 0.0000  4 Ta 2.81, 4 Os 2.81
Os 0.2500 0.2500 0.2500  4 Nd 2.81
Ta 0.7500 0.7500 0.7500  4 Nd 2.81


# NdTa2Os2

NdTa2Os2 after structural relaxation (PBE, the Open Quantum Materials Database).

Output
The symmetry is No. 139. The formation energy comes out at -28 kJ per mole of atoms.

Unit cell a=6.2432 b=6.2432 c=6.2432 alpha=138.77 beta=138.77 gamma=59.72
Closest atoms and distances in Å follow each position.
Atoms (fractional coordinates):
Nd 0.0000 0.0000 0.0000  8 Os 3.37, 8 Ta 3.49
Os 0.3805 0.3805 0.0000  1 Os 2.59, 4 Ta 2.61
Os 0.6195 0.6195 0.0000  1 Os 2.59, 4 Ta 2.61
Ta 0.7500 0.2500 0.5000  4 Os 2.61
Ta 0.2500 0.7500 0.5000  4 Os 2.61


# Nd3Tm3Te2Os

Nd3Tm3Te2Os after structural relaxation (PBE, the Open Quantum Materials Database).

Output
The symmetry is No. 189. For the raw total energy, the calculation gives -5.793 eV per atom.

Unit cell a=8.3948 b=8.3948 c=4.1060 alpha=90.00 beta=90.00 gamma=120.00
Closest atoms and distances in Å follow each position.
Atoms (fractional coordinates):
Nd 0.3967 0.0000 0.0000  4 Te 3.29, 1 Os 3.33, 4 Tm 3.55
Nd 0.0000 0.3967 0.0000  4 Te 3.29, 1 Os 3.33, 4 Tm 3.55
Nd 0.6033 0.6033 0.0000  4 Te 3.29, 1 Os 3.33, 4 Tm 3.55
Os 0.0000 0.0000 0.0000  6 Tm 2.82
Te 0.6667 0.3333 0.5000  6 Nd 3.29, 3 Tm 3.31
Te 0.3333 0.6667 0.5000  6 Nd 3.29, 3 Tm 3.31
Tm 0.7689 0.0000 0.5000  2 Os 2.82
Tm 0.2311 0.2311 0.5000  2 Os 2.82
Tm 0.0000 0.7689 0.5000  2 Os 2.82


# Nd3Tm3Te2Os

Nd3Tm3Te2Os after structural relaxation (PBE, the Open Quantum Materials Database).

Output
The symmetry is No. 38. For the raw total energy, the calculation gives -5.792 eV per atom.

Unit cell a=4.1170 b=8.3899 c=8.3899 alpha=120.04 beta=90.00 gamma=90.00
Closest atoms and distances in Å follow each position.
Atoms (fractional coordinates):
Nd 0.0000 0.6020 0.0000  4 Te 3.30, 1 Os 3.35, 4 Tm 3.56
Nd 0.0000 0.3962 0.3962  4 Te 3.29, 1 Os 3.30, 4 Tm 3.55
Nd 0.0000 0.0000 0.6020  4 Te 3.30, 1 Os 3.35, 4 Tm 3.56
Os 0.0000 0.0021 0.0021  6 Tm 2.82-2.83
Te 0.5000 0.6653 0.3337  6 Nd 3.29-3.30, 3 Tm 3.30-3.32
Te 0.5000 0.3337 0.6653  6 Nd 3.29-3.30, 3 Tm 3.30-3.32
Tm 0.5000 0.9998 0.2306  2 Os 2.82
Tm 0.5000 0.7704 0.7704  2 Os 2.83
Tm 0.5000 0.2306 0.9998  2 Os 2.82


# Nd3Tm3Te2Os

Nd3Tm3Te2Os after structural relaxation (PBE, the Open Quantum Materials Database).

Output
The symmetry is No. 189. For the raw total energy, the calculation gives -5.611 eV per atom.

Unit cell a=8.4911 b=8.4911 c=3.9959 alpha=90.00 beta=90.00 gamma=120.00
Closest atoms and distances in Å follow each position.
Atoms (fractional coordinates):
Nd 0.7534 0.0000 0.5000  2 Os 2.89
Nd 0.2466 0.2466 0.5000  2 Os 2.89
Nd 0.0000 0.7534 0.5000  2 Os 2.89
Os 0.0000 0.0000 0.0000  6 Nd 2.89
Te 0.6667 0.3333 0.5000  3 Nd 3.26, 6 Tm 3.29
Te 0.3333 0.6667 0.5000  3 Nd 3.26, 6 Tm 3.29
Tm 0.3938 0.0000 0.0000  4 Te 3.29, 1 Os 3.34, 6 Nd 3.54-3.65
Tm 0.0000 0.3938 0.0000  4 Te 3.29, 1 Os 3.34, 6 Nd 3.54-3.65
Tm 0.6062 0.6062 0.0000  4 Te 3.29, 1 Os 3.34, 6 Nd 3.54-3.65


# Nd2Tm3ZrTe2Os

Nd2Tm3ZrTe2Os after structural relaxation (PBE, the Open Quantum Materials Database).

Output
The symmetry is No. 38. For the raw total energy, the calculation gives -6.116 eV per atom.

Unit cell a=3.9714 b=8.2055 c=8.2055 alpha=118.19 beta=90.00 gamma=90.00
Closest atoms and distances in Å follow each position.
Atoms (fractional coordinates):
Nd 0.0000 0.4013 0.0018  1 Os 3.28, 4 Te 3.29-3.30, 6 Tm 3.45-3.60
Nd 0.0000 0.0018 0.4013  1 Os 3.28, 4 Te 3.29-3.30, 6 Tm 3.45-3.60
Os 0.0000 0.0002 0.0002  6 Tm 2.79-2.81
Te 0.5000 0.6599 0.3491  2 Zr 3.07, 3 Tm 3.15-3.40, 4 Nd 3.29-3.30
Te 0.5000 0.3491 0.6599  2 Zr 3.07, 3 Tm 3.15-3.40, 4 Nd 3.29-3.30
Tm 0.5000 0.2353 0.2353  2 Os 2.81
Tm 0.5000 0.9902 0.7572  2 Os 2.79
Tm 0.5000 0.7572 0.9902  2 Os 2.79
Zr 0.0000 0.6051 0.6051  4 Te 3.07, 1 Os 3.33, 4 Tm 3.43


# Nd3Y3Te2Os

Nd3Y3Te2Os after structural relaxation (PBE, the Open Quantum Materials Database).

Output
The symmetry is No. 189. For the raw total energy, the calculation gives -6.331 eV per atom.

Unit cell a=8.5480 b=8.5480 c=4.0111 alpha=90.00 beta=90.00 gamma=120.00
Closest atoms and distances in Å follow each position.
Atoms (fractional coordinates):
Nd 0.7560 0.0000 0.5000  2 Os 2.89
Nd 0.2440 0.2440 0.5000  2 Os 2.89
Nd 0.0000 0.7560 0.5000  2 Os 2.89
Os 0.0000 0.0000 0.0000  6 Nd 2.89
Te 0.6667 0.3333 0.5000  6 Y 3.29, 3 Nd 3.30
Te 0.3333 0.6667 0.5000  6 Y 3.29, 3 Nd 3.30
Y 0.3994 0.0000 0.0000  4 Te 3.29, 1 Os 3.41, 6 Nd 3.59-3.65
Y 0.0000 0.3994 0.0000  4 Te 3.29, 1 Os 3.41, 6 Nd 3.59-3.65
Y 0.6006 0.6006 0.0000  4 Te 3.29, 1 Os 3.41, 6 Nd 3.59-3.65


# Nd3Y3Te2Os

Nd3Y3Te2Os after structural relaxation (PBE, the Open Quantum Materials Database).

Output
The symmetry is No. 189. For the raw total energy, the calculation gives -6.433 eV per atom.

Unit cell a=8.4606 b=8.4606 c=4.1196 alpha=90.00 beta=90.00 gamma=120.00
Closest atoms and distances in Å follow each position.
Atoms (fractional coordinates):
Nd 0.3984 0.0000 0.0000  4 Te 3.31, 1 Os 3.37, 4 Y 3.59
Nd 0.0000 0.3984 0.0000  4 Te 3.31, 1 Os 3.37, 4 Y 3.59
Nd 0.6016 0.6016 0.0000  4 Te 3.31, 1 Os 3.37, 4 Y 3.59
Os 0.0000 0.0000 0.0000  6 Y 2.87
Te 0.6667 0.3333 0.5000  6 Nd 3.31, 3 Y 3.31
Te 0.3333 0.6667 0.5000  6 Nd 3.31, 3 Y 3.31
Y 0.7646 0.0000 0.5000  2 Os 2.87
Y 0.2354 0.2354 0.5000  2 Os 2.87
Y 0.0000 0.7646 0.5000  2 Os 2.87


# NdTmOs

NdTmOs after structural relaxation (PBE, the Open Quantum Materials Database).

Output
The symmetry is No. 216. The formation energy comes out at 65 kJ per mole of atoms.

Unit cell a=4.7352 b=4.7352 c=4.7352 alpha=60.00 beta=60.00 gamma=60.00
Closest atoms and distances in Å follow each position.
Atoms (fractional coordinates):
Nd 0.2500 0.2500 0.2500  4 Tm 2.90
Os 0.7500 0.7500 0.7500  4 Tm 2.90
Tm 0.0000 0.0000 0.0000  4 Os 2.90, 4 Nd 2.90


# NdZnOs

NdZnOs after structural relaxation (PBE, the Open Quantum Materials Database).

Output
The symmetry is No. 216. The formation energy comes out at 33 kJ per mole of atoms.

Unit cell a=4.5970 b=4.5970 c=4.5970 alpha=60.00 beta=60.00 gamma=60.00
Closest atoms and distances in Å follow each position.
Atoms (fractional coordinates):
Nd 0.2500 0.2500 0.2500  4 Os 2.82
Os 0.0000 0.0000 0.0000  4 Zn 2.82, 4 Nd 2.82
Zn 0.7500 0.7500 0.7500  4 Os 2.82


# NdZrOs

NdZrOs after structural relaxation (PBE, the Open Quantum Materials Database).

Output
The symmetry is No. 216. The formation energy comes out at 103 kJ per mole of atoms.

Unit cell a=4.6620 b=4.6620 c=4.6620 alpha=60.00 beta=60.00 gamma=60.00
Closest atoms and distances in Å follow each position.
Atoms (fractional coordinates):
Nd 0.0000 0.0000 0.0000  4 Zr 2.85, 4 Os 2.85
Os 0.2500 0.2500 0.2500  4 Nd 2.85
Zr 0.7500 0.7500 0.7500  4 Nd 2.85


# NdZrOs

NdZrOs after structural relaxation (PBE, the Open Quantum Materials Database).

Output
The symmetry is No. 216. The formation energy comes out at 52 kJ per mole of atoms.

Unit cell a=4.6536 b=4.6536 c=4.6536 alpha=60.00 beta=60.00 gamma=60.00
Closest atoms and distances in Å follow each position.
Atoms (fractional coordinates):
Nd 0.2500 0.2500 0.2500  4 Zr 2.85
Os 0.7500 0.7500 0.7500  4 Zr 2.85
Zr 0.0000 0.0000 0.0000  4 Nd 2.85, 4 Os 2.85


# Nd3P11

Nd3P11 after structural relaxation (PBE, the Open Quantum Materials Database).

Output
The symmetry is No. 8. For the raw total energy, the calculation gives -5.793 eV per atom.

Unit cell a=7.7208 b=7.7208 c=5.7631 alpha=95.14 beta=95.14 gamma=62.24
Closest atoms and distances in Å follow each position.
Atoms (fractional coordinates):
Nd 0.2385 0.2385 0.0669  5 P 2.86-3.15
Nd 0.6442 0.6442 0.7760  7 P 2.83-3.03
Nd 0.9378 0.9378 0.8202  8 P 2.83-3.16
P 0.7799 0.3164 0.0933  2 P 2.17-2.26
P 0.3164 0.7799 0.0933  2 P 2.17-2.26
P 0.8100 0.8100 0.2180  2 P 2.22
P 0.6173 0.0910 0.4038  3 P 2.18-2.32
P 0.0910 0.6173 0.4038  3 P 2.18-2.32
P 0.7875 0.2734 0.4620  3 P 2.17-2.32
P 0.2734 0.7875 0.4620  3 P 2.17-2.32
P 0.1215 0.1215 0.5511  2 P 2.31
P 0.5344 0.0465 0.7361  1 P 2.18
P 0.0465 0.5344 0.7361  1 P 2.18
P 0.4576 0.4576 0.9780  2 P 2.26


# Nd5P

Nd5P after structural relaxation (PBE, the Open Quantum Materials Database).

Output
The symmetry is No. 63. For the raw total energy, the calculation gives -4.864 eV per atom.

Unit cell a=6.4700 b=6.4700 c=11.9550 alpha=90.00 beta=90.00 gamma=120.00
Closest atoms and distances in Å follow each position.
Atoms (fractional coordinates):
Nd 0.6666 0.3334 0.0232  1 P 2.71
Nd 0.1685 0.3349 0.2500  4 Nd 3.21-3.26, 2 P 3.23-3.24
Nd 0.6651 0.8315 0.2500  4 Nd 3.21-3.26, 2 P 3.23-3.24
Nd 0.1685 0.8315 0.2500  4 Nd 3.21-3.26, 2 P 3.24
Nd 0.6666 0.3334 0.4768  1 P 2.71
Nd 0.3334 0.6666 0.5232  1 P 2.71
Nd 0.8315 0.1685 0.7500  4 Nd 3.21-3.26, 2 P 3.24
Nd 0.3349 0.1685 0.7500  4 Nd 3.21-3.26, 2 P 3.23-3.24
Nd 0.8315 0.6651 0.7500  4 Nd 3.21-3.26, 2 P 3.23-3.24
Nd 0.3334 0.6666 0.9768  1 P 2.71
P 0.6681 0.3319 0.2500  2 Nd 2.71
P 0.3319 0.6681 0.7500  2 Nd 2.71


# Nd3PPb

Nd3PPb after structural relaxation (PBE, the Open Quantum Materials Database).

Output
The symmetry is No. 221. For the raw total energy, the calculation gives -5.403 eV per atom.

Unit cell a=5.4706 b=5.4706 c=5.4706 alpha=90.00 beta=90.00 gamma=90.00
Closest atoms and distances in Å follow each position.
Atoms (fractional coordinates):
Nd 0.5000 0.5000 0.0000  2 P 2.74
Nd 0.5000 0.0000 0.5000  2 P 2.74
Nd 0.0000 0.5000 0.5000  2 P 2.74
P 0.5000 0.5000 0.5000  6 Nd 2.74
Pb 0.0000 0.0000 0.0000  12 Nd 3.87


# NdPPd

NdPPd after structural relaxation (PBE, the Open Quantum Materials Database).

Output
The symmetry is No. 194. For the raw total energy, the calculation gives -6.363 eV per atom.

Unit cell a=4.2282 b=4.2282 c=7.9091 alpha=90.00 beta=90.00 gamma=120.00
Closest atoms and distances in Å follow each position.
Atoms (fractional coordinates):
Nd 0.0000 0.0000 0.0000  6 P 3.14, 6 Pd 3.14
Nd 0.0000 0.0000 0.5000  6 Pd 3.14, 6 P 3.14
P 0.6667 0.3333 0.2500  3 Pd 2.44
P 0.3333 0.6667 0.7500  3 Pd 2.44
Pd 0.3333 0.6667 0.2500  3 P 2.44
Pd 0.6667 0.3333 0.7500  3 P 2.44


# NdPPd

NdPPd after structural relaxation (PBE, the Open Quantum Materials Database).

Output
The symmetry is No. 194. For the raw total energy, the calculation gives -5.946 eV per atom.

Unit cell a=4.9738 b=4.9738 c=5.8114 alpha=90.00 beta=90.00 gamma=120.00
Closest atoms and distances in Å follow each position.
Atoms (fractional coordinates):
Nd 0.6667 0.3333 0.2500  5 P 2.87-2.91
Nd 0.3333 0.6667 0.7500  5 P 2.87-2.91
P 0.3333 0.6667 0.2500  5 Nd 2.87-2.91
P 0.6667 0.3333 0.7500  5 Nd 2.87-2.91
Pd 0.0000 0.0000 0.0000  2 Pd 2.91, 6 P 3.22, 6 Nd 3.22
Pd 0.0000 0.0000 0.5000  2 Pd 2.91, 6 P 3.22, 6 Nd 3.22


# Nd3P4Pd4

Nd3P4Pd4 after structural relaxation (PBE, the Open Quantum Materials Database).

Output
The symmetry is No. 71. For the raw total energy, the calculation gives -6.270 eV per atom.

Unit cell a=12.6029 b=12.6029 c=12.6029 alpha=161.17 beta=161.07 gamma=26.82
Closest atoms and distances in Å follow each position.
Atoms (fractional coordinates):
Nd 0.0000 0.0000 0.0000  4 Pd 3.09, 8 P 3.14
Nd 0.6491 0.1491 0.5000  6 P 3.10-3.24, 8 Pd 3.20-3.25
Nd 0.3509 0.8509 0.5000  6 P 3.10-3.24, 8 Pd 3.20-3.25
P 0.4530 0.4530 0.0000  1 P 2.30, 2 Pd 2.37
P 0.5470 0.5470 0.0000  1 P 2.30, 2 Pd 2.37
P 0.8087 0.3087 0.5000  5 Pd 2.38-2.53
P 0.1913 0.6913 0.5000  5 Pd 2.38-2.53
Pd 0.2511 0.2511 0.0000  4 P 2.51-2.53
Pd 0.7489 0.7489 0.0000  4 P 2.51-2.53
Pd 0.9059 0.4059 0.5000  3 P 2.37-2.38
Pd 0.0941 0.5941 0.5000  3 P 2.37-2.38


# Nd2P3Pd6

Nd2P3Pd6 after structural relaxation (PBE, the Open Quantum Materials Database).

Output
The symmetry is No. 189. For the raw total energy, the calculation gives -6.071 eV per atom.

Unit cell a=7.3829 b=7.3829 c=4.1863 alpha=90.00 beta=90.00 gamma=120.00
Closest atoms and distances in Å follow each position.
Atoms (fractional coordinates):
Nd 0.6667 0.3333 0.0000  9 Pd 3.01-3.30, 6 P 3.15
Nd 0.3333 0.6667 0.0000  9 Pd 3.01-3.30, 6 P 3.15
P 0.6357 0.0000 0.5000  5 Pd 2.38-2.52
P 0.3643 0.3643 0.5000  5 Pd 2.38-2.52
P 0.0000 0.6357 0.5000  5 Pd 2.38-2.52
Pd 0.7878 0.0000 0.0000  2 P 2.38
Pd 0.2122 0.2122 0.0000  2 P 2.38
Pd 0.0000 0.7878 0.0000  2 P 2.38
Pd 0.3114 0.0000 0.5000  3 P 2.39-2.52
Pd 0.0000 0.3114 0.5000  3 P 2.39-2.52
Pd 0.6886 0.6886 0.5000  3 P 2.39-2.52


# PrNdP2Pd2

PrNdP2Pd2 after structural relaxation (PBE, the Open Quantum Materials Database).

Output
The symmetry is No. 164. For the raw total energy, the calculation gives -6.361 eV per atom.

Unit cell a=4.2372 b=4.2372 c=7.9531 alpha=90.00 beta=90.00 gamma=120.00
Closest atoms and distances in Å follow each position.
Atoms (fractional coordinates):
Nd 0.0000 0.0000 0.5000  6 Pd 3.15, 6 P 3.15
P 0.6667 0.3333 0.2505  3 Pd 2.45
P 0.3333 0.6667 0.7495  3 Pd 2.45
Pd 0.3333 0.6667 0.2505  3 P 2.45
Pd 0.6667 0.3333 0.7495  3 P 2.45
Pr 0.0000 0.0000 0.0000  6 P 3.15, 6 Pd 3.16